(1)
Computed, not measured: a relaxed structure of Al3Fe2 at the PBE level of DFT.

Lattice parameters (Å, degrees): 10.5282 10.5282 10.5282 14.97 14.97 14.97
With the nearest neighbours (Å) after each atom.
Fractional coordinates of all 5 atoms:
Al 0.0000 0.0000 0.0000  6 Fe 2.58, 6 Al 2.74
Al 0.2035 0.2035 0.2035  3 Fe 2.56, 9 Al 2.74-2.79
Al 0.7965 0.7965 0.7965  3 Fe 2.56, 9 Al 2.74-2.79
Fe 0.3987 0.3987 0.3987  6 Al 2.56-2.58, 6 Fe 2.74
Fe 0.6013 0.6013 0.6013  6 Al 2.56-2.58, 6 Fe 2.74

Computed properties:
uncorrected energy: -5.76 eV/atom
calculated volume: 68 Å³ per cell


(2)
Computed, not measured: a relaxed structure of CdHg2 at the PBE level of DFT.

Lattice parameters (Å, degrees): 5.9190 5.9190 5.9190 106.11 106.11 116.42
With the nearest neighbours (Å) after each atom.
Fractional coordinates of all 6 atoms:
Cd 0.2500 0.2500 0.0000  2 Cd 3.12, 8 Hg 3.12
Cd 0.7500 0.7500 0.0000  2 Cd 3.12, 8 Hg 3.12
Hg 0.1509 0.6509 0.8017  1 Hg 3.04, 4 Cd 3.12
Hg 0.3491 0.1509 0.5000  1 Hg 3.04, 4 Cd 3.12
Hg 0.6509 0.8491 0.5000  1 Hg 3.04, 4 Cd 3.12
Hg 0.8491 0.3491 0.1983  1 Hg 3.04, 4 Cd 3.12

Computed properties:
uncorrected energy: -0.48 eV/atom
calculated volume: 158 Å³ per cell


(3)
Computed, not measured: a relaxed structure of HgSb2Te at the PBE level of DFT.

Lattice parameters (Å, degrees): 6.9774 6.9774 5.9836 115.28 115.28 26.22
With the nearest neighbours (Å) after each atom.
Fractional coordinates of all 4 atoms:
Hg 0.0000 0.0000 0.0000  2 Sb 2.98, 2 Hg 3.16
Sb 0.2442 0.2442 0.2432  1 Hg 2.98, 1 Te 3.13, 2 Sb 3.16
Sb 0.7558 0.7558 0.7568  1 Hg 2.98, 1 Te 3.13, 2 Sb 3.16
Te 0.5000 0.5000 0.5000  2 Sb 3.13, 2 Te 3.16, 4 Hg 3.38

Computed properties:
calculated volume: 116 Å³ per cell
energy relative to the elements, uncorrected: 90 meV per atom


(4)
Computed, not measured: a relaxed structure of BeFeCo2 at the PBE level of DFT.

Lattice parameters (Å, degrees): 4.5281 4.5281 4.5281 144.69 129.91 62.77
With the nearest neighbours (Å) after each atom.
Fractional coordinates of all 4 atoms:
Be 0.0000 0.0000 0.0000  6 Co 2.31-2.36, 2 Fe 2.36
Fe 0.7513 0.2513 0.5000  6 Co 2.36-2.40, 2 Be 2.36
Co 0.2395 0.7395 0.5000  2 Be 2.31, 4 Fe 2.36, 2 Co 2.41
Co 0.4960 0.4960 0.0000  4 Be 2.36, 2 Fe 2.40, 2 Co 2.41

Computed properties:
uncorrected energy: -6.70 eV/atom
calculated volume: 41 Å³ per cell